1.
VAgO2 | PBE with a Hubbard U | relaxed

Values from the calculation:
SG: Cm (8)

Cell: 5.7743 5.7743 5.7034 Å, 115.19 115.19 39.06°
Element x y z (fractional)
V 0.0000 0.0000 0.0000
V 0.7483 0.7483 0.2951
Ag 0.2413 0.2413 0.7581
Ag 0.5391 0.5391 0.5407
O 0.2020 0.2020 0.2187
O 0.5432 0.5432 0.0215
O 0.8687 0.8687 0.0999
O 0.9124 0.9124 0.6267



2.
V6AgO15 | PBE with a Hubbard U | relaxed

Values from the calculation:
Offset from the most stable computed form, meV/atom: 0
SG: P-1 (2)

Cell: 7.3325 8.1866 10.3409 Å, 110.71 90.03 103.34°
Element x y z (fractional)
V 0.0788 0.3272 0.3961
V 0.1083 0.4292 0.0891
V 0.1892 0.7594 0.3823
V 0.3075 0.2313 0.6057
V 0.3963 0.5713 0.9073
V 0.4152 0.6749 0.6056
V 0.5848 0.3251 0.3944
V 0.6037 0.4287 0.0927
V 0.6925 0.7687 0.3943
V 0.8108 0.2406 0.6177
V 0.8917 0.5708 0.9109
V 0.9212 0.6728 0.6039
Ag 0.2547 0.0235 0.8888
Ag 0.7453 0.9765 0.1112
O 0.0012 0.1314 0.2683
O 0.0632 0.2099 0.0215
O 0.0637 0.2668 0.5715
O 0.1213 0.4803 0.2741
O 0.1323 0.5218 0.9307
O 0.1629 0.6134 0.5462
O 0.1938 0.7822 0.2330
O 0.2495 0.9992 0.5050
O 0.3083 0.2394 0.7681
O 0.3471 0.3533 0.4462
O 0.3737 0.4911 0.0732
O 0.3866 0.5326 0.7212
O 0.4301 0.7347 0.4281
O 0.4470 0.8742 0.7258
O 0.4659 0.7912 0.9761
O 0.5341 0.2088 0.0239
O 0.5530 0.1258 0.2742
O 0.5699 0.2653 0.5719
O 0.6134 0.4674 0.2788
O 0.6263 0.5089 0.9268
O 0.6529 0.6467 0.5538
O 0.6917 0.7606 0.2319
O 0.7505 0.0008 0.4950
O 0.8062 0.2178 0.7670
O 0.8371 0.3866 0.4538
O 0.8677 0.4782 0.0693
O 0.8787 0.5197 0.7259
O 0.9363 0.7332 0.4285
O 0.9368 0.7901 0.9785
O 0.9988 0.8686 0.7317



3.
V4AgO10 | PBE with a Hubbard U | relaxed

Values from the calculation:
SG: Cm (8)

Cell: 6.2344 6.2344 8.9915 Å, 90.64 90.64 34.42°
Element x y z (fractional)
V 0.0000 0.0000 0.0000
V 0.5421 0.5421 0.3376
V 0.7065 0.7065 0.9986
V 0.8378 0.8378 0.3333
Ag 0.3790 0.3790 0.6914
O 0.0105 0.0105 0.2926
O 0.1680 0.1680 0.0252
O 0.3740 0.3740 0.3082
O 0.5361 0.5361 0.0535
O 0.5495 0.5495 0.5173
O 0.6904 0.6904 0.2848
O 0.7283 0.7283 0.8197
O 0.8362 0.8362 0.5181
O 0.8450 0.8450 0.0783
O 0.9695 0.9695 0.8179



4.
VAg3O | PBE with a Hubbard U | relaxed

Values from the calculation:
Offset from the most stable computed form, meV/atom: 0
SG: Pm-3m (221)

Cell: 4.5035 4.5035 4.5035 Å, 90.00 90.00 90.00°
Element x y z (fractional)
V 0.0000 0.0000 0.0000
Ag 0.0000 0.5000 0.5000
Ag 0.5000 0.0000 0.5000
Ag 0.5000 0.5000 0.0000
O 0.5000 0.5000 0.5000



5.
VAgO2 | PBE with a Hubbard U | relaxed

Values from the calculation:
SG: Cm (8)

Cell: 5.6329 5.6329 6.7581 Å, 90.71 90.71 30.40°
Element x y z (fractional)
V 0.0000 0.0000 0.0000
V 0.2306 0.2306 0.8363
Ag 0.2755 0.2755 0.3963
Ag 0.5447 0.5447 0.4742
O 0.1822 0.1822 0.0779
O 0.4591 0.4591 0.1747
O 0.5918 0.5918 0.7980
O 0.8466 0.8466 0.8334



6.
VAgO2 | PBE with a Hubbard U | relaxed

Values from the calculation:
SG: Cm (8)

Cell: 5.6340 5.6340 9.2963 Å, 117.57 117.57 35.10°
Element x y z (fractional)
V 0.0000 0.0000 0.0000
V 0.7452 0.7452 0.0273
Ag 0.1784 0.1784 0.6388
Ag 0.5503 0.5503 0.3762
O 0.2206 0.2206 0.1071
O 0.5304 0.5304 0.9231
O 0.7729 0.7729 0.8559
O 0.9543 0.9543 0.1724



In the order shown, the computed V values come out to 53.5; 281.3; 197.5; 91.3; 54.2; 74.2 Å³/f.u..
In the order shown, the computed final energy values come out to -49.8; -318.9; -107.0; -18.3; -49.7; -50.3 eV for the cell shown.
In the order shown, the computed calculated density values come out to 5.9; 3.9; 4.0; 7.1; 5.8; 4.3 g cm⁻³.